A plane-wave DFT calculation with GGA-PBE was carried out for crystalline Ge2Ir2Au at its relaxed geometry.

## Properties
As for the calculated volume: 15.78 Å³ per atom. The calculation puts the final energy at -6.05 eV/atom. The calculation puts the energy of formation at -0.01 eV/atom. The space group is P4/mbm. For the energy above the most stable polymorph in this dataset, the calculation gives 86 meV/atom.

abc: 7.421 7.421 2.865
angles: 90.00 90.00 90.00
Element x y z (fractional)
Ge1 0.348 0.848 0.000
Ge2 0.848 0.652 0.000
Ge3 0.652 0.152 0.000
Ge4 0.152 0.348 0.000
Ir1 0.143 0.643 0.500
Ir2 0.643 0.857 0.500
Ir3 0.857 0.357 0.500
Ir4 0.357 0.143 0.500
Au1 0.000 0.000 0.000
Au2 0.500 0.500 0.000